No. 1
Computed, not measured: crystalline InCoAsBr2 at its relaxed geometry at the PBE-GGA level of DFT.

The value obtained for the formation energy (no corrections) is 0.77 eV per atom. The distance to the lowest polymorph of the same formula is 3.822 eV per formula unit.

It has space group P4/mmm (No. 123), with a = 5.419 Å, b = 5.419 Å, c = 5.437 Å, α = 90.00°, β = 90.00° and γ = 90.00°. Symmetry generates all atoms from In at (0.000, 0.000, 0.000), Co at (0.500, 0.500, 0.500), As at (0.000, 0.000, 0.500) and Br at (0.000, 0.500, 0.000).

***

No. 2
Computed, not measured: crystalline PaTc2ClO8 at its relaxed geometry at the PBE-GGA level of DFT.

The value obtained for the formation energy (no corrections) is -1.82 eV per atom.

It has space group P-3m1 (No. 164), with a = 6.5712 Å, b = 6.5712 Å, c = 5.7582 Å, α = 90.00°, β = 90.00° and γ = 120.00°. Symmetry generates all atoms from Pa at (0.0000, 0.0000, 0.0000), Tc at (0.3333, 0.6667, 0.7536), Cl at (0.0000, 0.0000, 0.5000), O at (0.1861, 0.3723, 0.8653) and O at (0.3333, 0.6667, 0.4559).

***

No. 3
Computed, not measured: crystalline HoMgCd5 at its relaxed geometry at the PBE-GGA level of DFT.

The calculation puts the formation enthalpy at 0 K at -0.07 eV per atom.

It has space group P4/mmm (No. 123), with a = 4.476 Å, b = 4.476 Å, c = 8.802 Å, α = 90.00°, β = 90.00° and γ = 90.00°. Symmetry generates all atoms from Ho at (0.000, 0.000, 0.000), Mg at (0.500, 0.500, 0.500), Cd at (0.000, 0.500, 0.270) and Cd at (0.500, 0.500, 0.000).

***

Across the entries above, energy takes the values -0.103, -0.287, -0.059 hartree per atom, respectively.